# ZrFeRh2N | Alexandria | GGA-PBEsol | relaxed
data_ZrFeRh2N
_cell_length_a 4.172
_cell_length_b 4.172
_cell_length_c 3.655
_cell_angle_alpha 90.00
_cell_angle_beta 90.00
_cell_angle_gamma 90.00
_space_group_name_H-M_alt 'P 4/m m m'
_space_group_IT_number 123
_space_group_name_Hall '-P 4 2'
loop_
_atom_site_label
_atom_site_type_symbol
_atom_site_fract_x
_atom_site_fract_y
_atom_site_fract_z
_atom_site_occupancy
Zr1 Zr 0.000 0.000 0.000 1
Fe1 Fe 0.500 0.500 0.000 1
Rh1 Rh 0.000 0.500 0.500 1
N1 N 0.500 0.500 0.500 1
# * raw formation energy: -1.75 eV per formula unit
# * final energy: -8.921 eV/atom
# * Fermi-level density of states: 3.08 states/eV/f.u.
# * calculated volume: 64 Å³/cell